No. 1
# Ba2LiTi11O24

A relaxed Ba2LiTi11O24 crystal (GGA-PBE, Alexandria via LeMat-Bulk). Values from VASP.

Output
For the total magnetization, the calculation gives 0.46 Bohr magnetons per cell. The value obtained for the raw formation energy is -3.016 eV per atom. For the density of states at the Fermi level, the calculation gives 9.41 states/eV/cell.

Cell and atoms, written as Quantum ESPRESSO input:
```
&SYSTEM
  ibrav = 0, nat = 38, ntyp = 4
/
ATOMIC_SPECIES
Ba 137.33 Ba.upf
Li 6.94 Li.upf
Ti 47.87 Ti.upf
O 16.00 O.upf
ATOMIC_POSITIONS angstrom
Ba 0.000 0.000 0.000
Ba 0.932 0.925 3.738
Li 4.361 6.328 1.349
Ti 3.110 5.383 6.492
Ti 2.495 4.750 3.620
Ti 1.933 4.049 0.802
Ti 4.803 2.543 5.176
Ti 5.445 3.040 8.097
Ti 4.332 1.833 2.265
Ti 5.137 7.008 4.128
Ti 5.835 7.622 7.112
Ti 6.847 4.329 2.782
Ti 8.159 5.484 8.586
Ti 7.557 4.722 5.720
O 2.400 6.510 7.961
O 1.787 5.934 5.131
O 1.187 5.364 2.235
O 4.124 4.527 7.979
O 3.521 3.965 5.148
O 2.966 3.396 2.307
O 2.984 0.839 1.270
O 4.241 1.915 6.989
O 3.653 1.321 4.087
O 3.061 5.345 0.135
O 3.766 6.054 3.254
O 4.441 6.580 5.972
O 6.126 3.582 6.210
O 5.565 3.010 3.399
O 4.962 2.323 0.469
O 6.298 8.261 5.264
O 6.941 8.862 8.000
O 5.880 7.768 2.493
O 7.062 6.154 7.073
O 6.483 5.622 4.202
O 5.861 4.969 1.313
O 8.782 4.187 7.096
O 7.551 2.997 1.396
O 8.171 3.627 4.235
CELL_PARAMETERS angstrom
7.334 0.000 0.000
0.337 7.393 0.000
1.871 1.792 8.586
```



No. 2
# Ba3LiTi3O8

A relaxed Ba3LiTi3O8 crystal (GGA-PBE, Alexandria via LeMat-Bulk). Values from VASP.

Output
For the total magnetization, the calculation gives 0.92 Bohr magnetons per cell. The value obtained for the raw formation energy is -2.670 eV per atom. For the density of states at the Fermi level, the calculation gives 2.88 states/eV/cell.

Cell and atoms, written as Quantum ESPRESSO input:
```
&SYSTEM
  ibrav = 0, nat = 15, ntyp = 4
/
ATOMIC_SPECIES
Ba 137.33 Ba.upf
Li 6.94 Li.upf
Ti 47.87 Ti.upf
O 16.00 O.upf
ATOMIC_POSITIONS angstrom
Ba 0.000 0.000 0.000
Ba 2.885 3.994 5.252
Ba 5.627 5.382 2.787
Li 5.699 2.613 1.212
Ti 2.949 2.847 1.642
Ti 5.614 6.196 6.195
Ti 5.721 1.566 3.847
O 1.477 1.820 2.345
O 2.860 4.451 2.463
O 4.229 6.394 4.852
O 4.186 3.258 0.117
O 3.014 1.880 7.122
O 4.385 1.716 2.355
O 7.086 6.333 4.942
O 5.686 3.164 4.694
CELL_PARAMETERS angstrom
5.588 0.000 0.000
2.698 5.858 0.000
0.181 1.897 7.249
```



No. 3
# Ba3Li2TiO6

A relaxed Ba3Li2TiO6 crystal (GGA-PBE, Alexandria via LeMat-Bulk). Values from VASP.

Output
For the total magnetization, the calculation gives 0.00 Bohr magnetons per cell. The value obtained for the raw formation energy is -2.473 eV per atom.

Cell and atoms, written as Quantum ESPRESSO input:
```
&SYSTEM
  ibrav = 0, nat = 12, ntyp = 4
/
ATOMIC_SPECIES
Ba 137.33 Ba.upf
Li 6.94 Li.upf
Ti 47.87 Ti.upf
O 16.00 O.upf
ATOMIC_POSITIONS angstrom
Ba 0.000 0.000 0.000
Ba 0.000 3.399 4.293
Ba 2.943 1.699 2.395
Li 0.000 3.399 1.572
Li 2.943 1.699 5.117
Ti 0.000 0.000 3.344
O 0.000 1.628 2.143
O -1.533 4.284 2.143
O 1.410 0.814 4.545
O 1.533 4.284 2.143
O 4.477 0.814 4.545
O 2.943 3.470 4.545
CELL_PARAMETERS angstrom
5.887 0.000 0.000
-2.943 5.098 0.000
0.000 0.000 6.688
```



No. 4
# Ba2LiTlO4

A relaxed Ba2LiTlO4 crystal (GGA-PBE, Alexandria via LeMat-Bulk). Values from VASP.

Output
For the total magnetization, the calculation gives 0.00 Bohr magnetons per cell. The value obtained for the raw formation energy is -1.679 eV per atom.

Cell and atoms, written as Quantum ESPRESSO input:
```
&SYSTEM
  ibrav = 0, nat = 16, ntyp = 4
/
ATOMIC_SPECIES
Ba 137.33 Ba.upf
Li 6.94 Li.upf
Tl 204.38 Tl.upf
O 16.00 O.upf
ATOMIC_POSITIONS angstrom
Ba 0.000 0.000 0.000
Ba -2.616 0.000 2.917
Ba 2.667 2.361 0.000
Ba 0.052 -2.361 2.917
Li 0.052 2.361 2.917
Li 2.667 -2.361 0.000
Tl 5.334 0.000 0.000
Tl 2.719 0.000 2.917
O 0.117 0.290 2.769
O 2.726 2.100 2.705
O -2.499 -0.290 5.686
O 5.328 2.100 0.212
O 0.110 -2.100 5.622
O 7.937 0.290 0.147
O 2.712 -2.100 3.128
O 5.321 -0.290 3.064
CELL_PARAMETERS angstrom
5.334 -4.723 0.000
5.334 4.723 0.000
-5.231 0.000 5.833
```



No. 5
# BaLiTlO3

A relaxed BaLiTlO3 crystal (GGA-PBE, Alexandria via LeMat-Bulk). Values from VASP.

Output
For the total magnetization, the calculation gives 0.00 Bohr magnetons per cell. The value obtained for the raw formation energy is -1.626 eV per atom.

Cell and atoms, written as Quantum ESPRESSO input:
```
&SYSTEM
  ibrav = 0, nat = 12, ntyp = 4
/
ATOMIC_SPECIES
Ba 137.33 Ba.upf
Li 6.94 Li.upf
Tl 204.38 Tl.upf
O 16.00 O.upf
ATOMIC_POSITIONS angstrom
Ba 0.943 0.900 1.712
Ba 4.278 2.701 5.460
Li -0.618 0.900 4.282
Li 5.839 2.701 2.890
Tl 0.612 2.701 6.016
Tl 4.609 0.900 1.155
O -1.028 0.900 6.168
O 0.202 2.701 3.831
O 2.977 2.701 1.097
O 2.243 0.900 6.075
O 5.018 0.900 3.341
O 6.248 2.701 1.004
CELL_PARAMETERS angstrom
7.347 0.000 0.000
0.000 3.602 0.000
-2.126 0.000 7.172
```



No. 6
# Ba2LiTlO

A relaxed Ba2LiTlO crystal (GGA-PBE, Alexandria via LeMat-Bulk). Values from VASP.

Output
For the total magnetization, the calculation gives 0.00 Bohr magnetons per cell. The value obtained for the raw formation energy is -1.106 eV per atom. For the density of states at the Fermi level, the calculation gives 0.66 states/eV/cell.

Cell and atoms, written as Quantum ESPRESSO input:
```
&SYSTEM
  ibrav = 0, nat = 5, ntyp = 4
/
ATOMIC_SPECIES
Ba 137.33 Ba.upf
Li 6.94 Li.upf
Tl 204.38 Tl.upf
O 16.00 O.upf
ATOMIC_POSITIONS angstrom
Ba 0.000 2.891 0.000
Ba 2.891 0.000 0.000
Li 0.000 0.000 2.091
Tl 2.891 2.891 2.091
O 0.000 0.000 0.000
CELL_PARAMETERS angstrom
5.783 0.000 0.000
0.000 5.783 0.000
0.000 0.000 4.182
```



No. 7
# BaLi2U2O7

A relaxed BaLi2U2O7 crystal (GGA-PBE, Alexandria via LeMat-Bulk). Values from VASP.

Output
For the total magnetization, the calculation gives 2.00 Bohr magnetons per cell. The value obtained for the raw formation energy is -2.920 eV per atom. For the density of states at the Fermi level, the calculation gives 0.37 states/eV/cell.

Cell and atoms, written as Quantum ESPRESSO input:
```
&SYSTEM
  ibrav = 0, nat = 12, ntyp = 4
/
ATOMIC_SPECIES
Ba 137.33 Ba.upf
Li 6.94 Li.upf
U 238.03 U.upf
O 16.00 O.upf
ATOMIC_POSITIONS angstrom
Ba 0.000 0.000 0.000
Li 1.537 1.541 4.716
Li 1.537 -1.541 4.716
U 0.003 0.000 7.214
U 3.070 0.000 2.218
O 1.535 1.535 2.027
O 0.001 0.000 5.189
O 1.538 1.535 7.405
O 3.070 0.000 0.000
O 1.535 -1.535 2.027
O 3.072 0.000 4.243
O 1.538 -1.535 7.405
CELL_PARAMETERS angstrom
3.070 -3.070 0.000
3.070 3.070 0.000
-3.066 0.000 9.432
```



No. 8
# Ba3Li2UO9

A relaxed Ba3Li2UO9 crystal (GGA-PBE, Alexandria via LeMat-Bulk). Values from VASP.

Output
For the total magnetization, the calculation gives 4.05 Bohr magnetons per cell. The value obtained for the raw formation energy is -2.215 eV per atom. For the density of states at the Fermi level, the calculation gives 8.73 states/eV/cell.

Cell and atoms, written as Quantum ESPRESSO input:
```
&SYSTEM
  ibrav = 0, nat = 15, ntyp = 4
/
ATOMIC_SPECIES
Ba 137.33 Ba.upf
Li 6.94 Li.upf
U 238.03 U.upf
O 16.00 O.upf
ATOMIC_POSITIONS angstrom
Ba 0.000 0.000 0.000
Ba 0.000 3.385 5.251
Ba 2.932 1.693 2.223
Li 0.000 3.385 1.336
Li 2.932 1.693 6.139
U 0.000 0.000 3.737
O -1.466 2.539 0.000
O 0.000 1.640 2.524
O -1.511 4.258 2.524
O 1.421 0.820 4.951
O 2.932 0.000 0.000
O 1.466 2.539 0.000
O 1.511 4.258 2.524
O 4.443 0.820 4.951
O 2.932 3.437 4.951
CELL_PARAMETERS angstrom
5.863 0.000 0.000
-2.932 5.078 0.000
0.000 0.000 7.475
```



Looking at E_tot for the records above, in order, we have -8.58, -7.41, -6.41, -5.17, -5.14, -3.72, -8.17, -6.58 eV/atom.